DFT (PBE) results for an optimized crystal structure of CaPrNd2Hg4.

The calculation puts the density of states at the Fermi level at 7.39 states/eV per cell. Its formation energy is -0.50 eV/atom.

a = 5.4140 Å, b = 5.4140 Å, c = 9.4071 Å
α = 73.28°, β = 73.28°, γ = 60.00°
Last column: nearest neighbours and their distance in Å.
Sites, in units of the cell vectors:
Ca1 0.0000 0.0000 0.0000  8 Hg 3.32
Pr1 0.5000 0.5000 0.5000  8 Hg 3.32
Nd1 0.7471 0.7471 0.7586  8 Hg 3.26-3.41
Nd2 0.2529 0.2529 0.2414  8 Hg 3.26-3.41
Hg1 0.3754 0.3754 0.8739  4 Nd 3.26-3.29, 1 Pr 3.32, 3 Ca 3.32
Hg2 0.8753 0.8753 0.3741  3 Pr 3.32, 1 Ca 3.32, 4 Nd 3.34-3.41
Hg3 0.1247 0.1247 0.6259  3 Pr 3.32, 1 Ca 3.32, 4 Nd 3.34-3.41
Hg4 0.6246 0.6246 0.1261  4 Nd 3.26-3.29, 1 Pr 3.32, 3 Ca 3.32